Entry 1:
# Sm2CoNi3Pt12

Crystalline Sm2CoNi3Pt12 at its relaxed geometry (PBE-GGA, Alexandria via LeMat-Bulk).

## Properties
Formation enthalpy at 0 K: -74 meV per atom
SG: R-3m (166)

a = 9.265 Å, b = 9.265 Å, c = 9.265 Å
α = 42.77°, β = 42.77°, γ = 42.77°
Element x y z (fractional)
Sm  0.658  0.658  0.658
Sm  0.342  0.342  0.342
Co  0.000  0.000  0.000
Ni  0.500  0.000  0.000
Ni  0.000  0.500  0.000
Ni  0.000  0.000  0.500
Pt  0.414  0.414  0.816
Pt  0.926  0.926  0.352
Pt  0.352  0.926  0.926
Pt  0.816  0.414  0.414
Pt  0.926  0.352  0.926
Pt  0.414  0.816  0.414
Pt  0.586  0.586  0.184
Pt  0.074  0.074  0.648
Pt  0.648  0.074  0.074
Pt  0.184  0.586  0.586
Pt  0.074  0.648  0.074
Pt  0.586  0.184  0.586

Entry 2:
# LiLaAlIn2

Crystalline LiLaAlIn2 at its relaxed geometry (PBE-GGA, Alexandria via LeMat-Bulk).

## Properties
Formation enthalpy at 0 K: -371 meV per atom
SG: I-4m2 (119)

a = 4.521 Å, b = 4.521 Å, c = 6.740 Å
α = 109.60°, β = 109.60°, γ = 90.00°
Element x y z (fractional)
Li  0.250  0.750  0.500
La  0.000  0.000  0.000
Al  0.750  0.250  0.500
In  0.618  0.618  0.237
In  0.382  0.382  0.763

Entry 3:
# Y2ZnCdC

Crystalline Y2ZnCdC at its relaxed geometry (PBE-GGA, Alexandria via LeMat-Bulk).

## Properties
Formation enthalpy at 0 K: -186 meV per atom
SG: P4/mmm (123)

a = 5.027 Å, b = 5.027 Å, c = 4.055 Å
α = 90.00°, β = 90.00°, γ = 90.00°
Element x y z (fractional)
Y  0.000  0.500  0.000
Y  0.500  0.000  0.000
Zn  0.000  0.000  0.500
C  0.000  0.000  0.000
Cd  0.500  0.500  0.500

Entry 4:
# V2PCl

Crystalline V2PCl at its relaxed geometry (PBE-GGA, Alexandria via LeMat-Bulk).

## Properties
SG: I-42d (122)
Relative energy among the computed polymorphs: 49.8 meV per atom
Energy relative to the elements, uncorrected: -72 meV per atom

a = 5.429 Å, b = 5.429 Å, c = 6.703 Å
α = 66.11°, β = 66.11°, γ = 90.00°
Element x y z (fractional)
P  0.500  0.500  0.000
P  0.250  0.750  0.500
V  0.613  0.125  0.250
V  0.137  0.625  0.250
V  0.375  0.387  0.750
V  0.875  0.863  0.750
Cl  0.000  0.000  0.000
Cl  0.750  0.250  0.500

Entry 5:
# KEuDySeO6

Crystalline KEuDySeO6 at its relaxed geometry (PBE-GGA, Alexandria via LeMat-Bulk).

## Properties
SG: F-43m (216)
Energy relative to the elements, uncorrected: -2019 meV per atom

a = 5.742 Å, b = 5.742 Å, c = 5.742 Å
α = 60.00°, β = 60.00°, γ = 60.00°
Element x y z (fractional)
K  0.750  0.750  0.750
Eu  0.250  0.250  0.250
Dy  0.000  0.000  0.000
Se  0.500  0.500  0.500
O  0.273  0.727  0.273
O  0.727  0.273  0.727
O  0.273  0.727  0.727
O  0.727  0.273  0.273
O  0.273  0.273  0.727
O  0.727  0.727  0.273

Entry 6:
# Sc5Cd4Pb

Crystalline Sc5Cd4Pb at its relaxed geometry (PBE-GGA, Alexandria via LeMat-Bulk).

## Properties
Formation enthalpy at 0 K: -294 meV per atom
SG: P4/mmm (123)

a = 3.573 Å, b = 3.573 Å, c = 17.680 Å
α = 90.00°, β = 90.00°, γ = 90.00°
Element x y z (fractional)
Sc  0.500  0.500  0.106
Sc  0.500  0.500  0.303
Sc  0.500  0.500  0.500
Sc  0.500  0.500  0.697
Sc  0.500  0.500  0.894
Cd  0.000  0.000  0.208
Cd  0.000  0.000  0.401
Cd  0.000  0.000  0.599
Cd  0.000  0.000  0.792
Pb  0.000  0.000  0.000

Number 1: size of the total moment 3.14 μB per formula unit, DFT total energy -5.9837 eV per atom. Number 2: size of the total moment 0.00 μB per formula unit, DFT total energy -3.5836 eV per atom. Number 3: size of the total moment 0.00 μB per formula unit, DFT total energy -5.0542 eV per atom. Number 4: size of the total moment 4.74 μB per formula unit, DFT total energy -6.4458 eV per atom. Number 5: size of the total moment 6.86 μB per formula unit, DFT total energy -6.9399 eV per atom. Number 6: size of the total moment 0.12 μB per formula unit, DFT total energy -4.1964 eV per atom.